VASP calculation (PBE-GGA) on a relaxed Sr2AlCr crystal.

POSCAR file:
```
Sr2AlCr
1.0
1.9609 1.1321 10.3526
-1.9609 1.1321 10.3526
0.0000 -2.2642 10.3526
Sr Al Cr
2 1 1
Cartesian
0.0000 0.0000 7.7079
0.0000 0.0000 23.3499
0.0000 0.0000 15.5289
0.0000 0.0000 0.0000
```

Calculated values
density	3.06	Mg/m³
space group	R-3m (166)
energy of formation from the pure elements	0.59	eV/atom
raw total energy	-3.59	eV/atom